(1)
# PBE ZnInTe2, relaxed
data_ZnInTe2
_chemical_formula_sum 'Zn1 In1 Te2'
_cell_length_a 3.127
_cell_length_b 5.945
_cell_length_c 6.171
_cell_angle_alpha 90.00
_cell_angle_beta 103.47
_cell_angle_gamma 90.00
_symmetry_space_group_name_H-M 'P 1 2/m 1'
_symmetry_Int_Tables_number 10
_symmetry_space_group_name_Hall '-P 2y'
loop_
_atom_site_label
_atom_site_type_symbol
_atom_site_fract_x
_atom_site_fract_y
_atom_site_fract_z
_atom_site_occupancy
Zn1 Zn 0.000 0.000 0.000 1
In1 In 0.500 0.000 0.500 1
Te1 Te 0.278 0.500 0.751 1
# VASP energy in eV/atom: -2.452

=====

(2)
# PBE LaVSe3, relaxed
data_LaVSe3
_chemical_formula_sum 'La1 V1 Se3'
_cell_length_a 5.700
_cell_length_b 5.700
_cell_length_c 5.700
_cell_angle_alpha 90.00
_cell_angle_beta 90.00
_cell_angle_gamma 90.00
_symmetry_space_group_name_H-M 'P m -3 m'
_symmetry_Int_Tables_number 221
_symmetry_space_group_name_Hall '-P 4 2 3'
loop_
_atom_site_label
_atom_site_type_symbol
_atom_site_fract_x
_atom_site_fract_y
_atom_site_fract_z
_atom_site_occupancy
La1 La 0.000 0.000 0.000 1
V1 V 0.500 0.500 0.500 1
Se1 Se 0.000 0.000 0.500 1
# Energy above the lowest structure with this stoichiometry in eV/atom: 1.360

=====

(3)
# PBE TiReW, relaxed
data_TiReW
_chemical_formula_sum 'Ti4 Re4 W4'
_cell_length_a 4.531
_cell_length_b 5.144
_cell_length_c 8.160
_cell_angle_alpha 90.00
_cell_angle_beta 90.00
_cell_angle_gamma 90.00
_symmetry_space_group_name_H-M 'I m m m'
_symmetry_Int_Tables_number 71
_symmetry_space_group_name_Hall '-I 2 2'
loop_
_atom_site_label
_atom_site_type_symbol
_atom_site_fract_x
_atom_site_fract_y
_atom_site_fract_z
_atom_site_occupancy
Ti1 Ti 0.000 0.000 0.169 1
Re1 Re 0.000 0.260 0.500 1
W1 W 0.000 0.500 0.160 1
# Energy above the lowest structure with this stoichiometry in eV/atom: 0.524
# ΔE_f in eV per atom: 0.1933

=====

(4)
# PBE Hf2TiSi, relaxed
data_Hf2TiSi
_chemical_formula_sum 'Hf2 Ti1 Si1'
_cell_length_a 4.228
_cell_length_b 4.228
_cell_length_c 4.059
_cell_angle_alpha 90.00
_cell_angle_beta 90.00
_cell_angle_gamma 90.00
_symmetry_space_group_name_H-M 'P 4/m m m'
_symmetry_Int_Tables_number 123
_symmetry_space_group_name_Hall '-P 4 2'
loop_
_atom_site_label
_atom_site_type_symbol
_atom_site_fract_x
_atom_site_fract_y
_atom_site_fract_z
_atom_site_occupancy
Hf1 Hf 0.000 0.500 0.000 1
Ti1 Ti 0.000 0.000 0.500 1
Si1 Si 0.500 0.500 0.500 1
# VASP energy in eV/atom: -8.625

=====

(5)
# PBE DyHo3Tm6, relaxed
data_DyHo3Tm6
_chemical_formula_sum 'Dy4 Ho12 Tm24'
_cell_length_a 9.456
_cell_length_b 20.655
_cell_length_c 6.279
_cell_angle_alpha 90.00
_cell_angle_beta 90.00
_cell_angle_gamma 90.00
_symmetry_space_group_name_H-M 'C m c 21'
_symmetry_Int_Tables_number 36
_symmetry_space_group_name_Hall 'C 2c -2'
loop_
_atom_site_label
_atom_site_type_symbol
_atom_site_fract_x
_atom_site_fract_y
_atom_site_fract_z
_atom_site_occupancy
Dy1 Dy 0.000 0.162 0.000 1
Ho1 Ho 0.000 0.420 0.920 1
Ho2 Ho 0.169 0.127 0.526 1
Tm1 Tm 0.000 0.015 0.196 1
Tm2 Tm 0.000 0.302 0.229 1
Tm3 Tm 0.177 0.281 0.685 1
Tm4 Tm 0.182 0.439 0.447 1
# Energy above the lowest structure with this stoichiometry in eV/atom: 0.000
# ΔE_f in eV per atom: 0.1249

=====

(6)
# PBE PBr2, relaxed
data_PBr2
_chemical_formula_sum 'P2 Br4'
_cell_length_a 3.5314
_cell_length_b 3.5314
_cell_length_c 14.0831
_cell_angle_alpha 90.00
_cell_angle_beta 90.00
_cell_angle_gamma 120.00
_symmetry_space_group_name_H-M 'P 63/m m c'
_symmetry_Int_Tables_number 194
_symmetry_space_group_name_Hall '-P 6c 2c'
loop_
_atom_site_label
_atom_site_type_symbol
_atom_site_fract_x
_atom_site_fract_y
_atom_site_fract_z
_atom_site_occupancy
P1 P 0.0000 0.0000 0.2500 1
Br1 Br 0.3333 0.6667 0.1179 1
# VASP energy in eV/atom: -2.493